{
  "formula": "InGeOsBr2",
  "functional": "GGA-PBE",
  "state": "relaxed",
  "n_ef_per_ev_atom": 1.288,
  "e_form_raw_ev_per_fu": 4.12,
  "sg": "P4/mmm, No. 123",
  "m_tot_mub_per_fu": 1.3,
  "lattice": [[-0.075, -4.822, 1.166], [-0.204, -1.292, -5.355], [4.957, -0.116, -0.161]],
  "species": ["Br", "Br", "Os", "In", "Ge"],
  "frac_coords": [[0.000, 0.000, 0.500], [0.500, 0.000, 0.000], [0.000, 0.000, 0.000], [0.000, 0.500, 0.000], [0.500, 0.500, 0.500]]
}

---

{
  "formula": "VTcW",
  "functional": "GGA-PBE",
  "state": "relaxed",
  "polymorph_energy_mev_per_atom": 0,
  "n_ef_per_ev_atom": 0.562,
  "delta_e_f_ev_per_fu": -0.418,
  "sg": "P3m1, No. 156",
  "m_tot_mub_per_fu": 0.0,
  "lattice": [[2.719, 0.000, 0.000], [0.000, 4.332, 0.000], [0.000, -2.166, 3.751]],
  "species": ["W", "Tc", "V"],
  "frac_coords": [[0.667, 0.333, 0.667], [0.003, 0.000, 0.000], [0.329, 0.667, 0.333]]
}

---

{
  "formula": "YRe3S",
  "functional": "GGA-PBE",
  "state": "relaxed",
  "polymorph_energy_mev_per_atom": 3006,
  "n_ef_per_ev_atom": 1.928,
  "e_form_raw_ev_per_fu": 17.49,
  "sg": "Pm-3m, No. 221",
  "m_tot_mub_per_fu": 2.5,
  "lattice": [[4.892, 0.000, 0.000], [0.000, 4.892, 0.000], [0.000, 0.000, 4.892]],
  "species": ["Re", "Re", "Re", "S", "Y"],
  "frac_coords": [[0.000, 0.000, 0.500], [0.500, 0.000, 0.000], [0.000, 0.500, 0.000], [0.500, 0.500, 0.500], [0.000, 0.000, 0.000]]
}

---

{
  "formula": "Li4CdPd7",
  "functional": "GGA-PBE",
  "state": "relaxed",
  "n_ef_per_ev_atom": 0.407,
  "delta_e_f_ev_per_fu": -4.107,
  "sg": "P-1, No. 2",
  "m_tot_mub_per_fu": 0.0,
  "lattice": [[-5.357, -0.694, 1.147], [-4.489, -5.256, 2.570], [0.035, -0.144, 7.270]],
  "species": ["Li", "Li", "Li", "Li", "Pd", "Pd", "Pd", "Pd", "Pd", "Pd", "Pd", "Cd"],
  "frac_coords": [[0.748, 0.829, 0.675], [0.252, 0.171, 0.325], [0.493, 0.334, 0.667], [0.507, 0.666, 0.333], [0.500, 0.000, 0.000], [0.260, 0.826, 0.656], [0.991, 0.675, 0.344], [0.754, 0.500, 0.997], [0.740, 0.174, 0.344], [0.246, 0.500, 0.003], [0.009, 0.325, 0.656], [0.000, 0.000, 0.000]]
}